(1)
Below is an optimized crystal structure of MnBe2CuOs, with properties calculated at the GGA-PBE level.

abc: 4.2399 4.2399 4.5399
angles: 90.00 90.00 90.00
Fractional coordinates of all 5 atoms:
Mn (0.0000, 0.0000, 0.0000)
Be (0.0000, 0.5000, 0.5000)
Be (0.5000, 0.0000, 0.5000)
Cu (0.5000, 0.5000, 0.0000)
Os (0.0000, 0.0000, 0.5000)

Computed properties:
Spin magnetization = 3.07 μB per cell
Energy of formation = 1.016 eV/atom
N(E_F) = 3.10 states/eV/f.u.
V = 16.32 Å³/atom

***

(2)
Below is an optimized crystal structure of MnBe2CuRh, with properties calculated at the GGA-PBE level.

abc: 4.1294 4.1294 4.7611
angles: 90.00 90.00 90.00
Fractional coordinates of all 5 atoms:
Mn (0.0000, 0.0000, 0.0000)
Be (0.0000, 0.5000, 0.5000)
Be (0.5000, 0.0000, 0.5000)
Cu (0.5000, 0.5000, 0.0000)
Rh (0.0000, 0.0000, 0.5000)

Computed properties:
Spin magnetization = 4.14 μB per cell
Energy of formation = 0.696 eV/atom
N(E_F) = 2.44 states/eV/f.u.
V = 16.24 Å³/atom